(1)
Below is crystalline NaTl2F6 at its relaxed geometry, with properties calculated at the PBE-GGA level.

Cell lengths 6.0876, 6.0876, 4.7492 Å; angles 90.00, 90.00, 120.00 degrees
Space group P-31m (No. 162)
Unique sites:
Na  0.0000  0.0000  0.0000
Tl  0.3333  0.6667  0.5000
F  0.0000  0.3437  0.7397

## Properties
raw total energy	-0.28698	Ry per atom

(2)
Below is crystalline Ba2CeO4 at its relaxed geometry, with properties calculated at the PBE-GGA level.

Cell lengths 6.507, 11.008, 3.728 Å; angles 90.00, 90.00, 90.00 degrees
Space group Pbam (No. 55)
Unique sites:
Ba  0.061  0.177  0.000
Ce  0.000  0.500  0.500
O  0.134  0.683  0.500
O  0.212  0.457  0.000

## Properties
raw total energy	-0.52976	Ry per atom

(3)
Below is crystalline LiCa2SeO6 at its relaxed geometry, with properties calculated at the PBE-GGA level.

Cell lengths 5.409, 5.545, 9.251 Å; angles 90.00, 125.08, 90.00 degrees
Space group P2_1/c (No. 14)
Unique sites:
Li  0.000  0.000  0.000
Ca  0.236  0.050  0.747
Se  0.500  0.000  0.500
O  0.196  0.191  0.464
O  0.271  0.735  0.458
O  0.343  0.021  0.267

## Properties
raw total energy	-0.42052	Ry per atom

(4)
Below is crystalline TbNd2SmEr at its relaxed geometry, with properties calculated at the PBE-GGA level.

Cell lengths 8.208, 6.741, 6.206 Å; angles 90.00, 90.12, 90.00 degrees
Space group P2/c (No. 13)
Unique sites:
Tb  0.000  0.079  0.250
Nd  0.305  0.194  0.749
Sm  0.000  0.500  0.000
Er  0.500  0.342  0.250

## Properties
calculated formation energy	1.34	eV/f.u.

(5)
Below is crystalline HoErPaO6 at its relaxed geometry, with properties calculated at the PBE-GGA level.

Cell lengths 5.7441, 5.7441, 4.6738 Å; angles 90.00, 90.00, 120.00 degrees
Space group P312 (No. 149)
Unique sites:
Ho  0.0000  0.0000  0.0000
Er  0.6667  0.3333  0.0000
Pa  0.3333  0.6667  0.5000
O  0.0117  0.3465  0.7558

## Properties
raw total energy	-0.63378	Ry per atom

(6)
Below is crystalline Cs2HfPF6 at its relaxed geometry, with properties calculated at the PBE-GGA level.

Cell lengths 7.045, 7.045, 10.036 Å; angles 90.00, 90.00, 90.00 degrees
Space group I4/mmm (No. 139)
Unique sites:
Cs  0.000  0.500  0.250
Hf  0.000  0.000  0.000
P  0.000  0.000  0.500
F  0.000  0.000  0.200
F  0.201  0.201  0.000

## Properties
raw total energy	-0.40912	Ry per atom

So what do the calculations give for total magnetic moment? Going down the list: 0.000; 0.000; 1.075; 0.000; 0.241; 3.000 μB/f.u..
So what do the calculations give for Fermi-level density of states? Going down the list: 0.27; 0.00; 0.62; 1.20; 1.00; 0.00 states/eV per atom.